56
Lattice="-1.4108 -4.4938 6.6526 8.1090 -2.3365 0.1414 1.8290 6.6426 4.8749" Properties=species:S:1:pos:R:3 comment="Li2Ni3SnO8 | Alexandria | PBE+U | optimized geometry" total_magnetization_mub_per_fu=2.000 relative_energy_kj_per_mol_atoms=0.0 final_energy_ev_per_atom=-5.129 pbc="T T T"
Li 4.1865 -0.1212 9.5232
Li 6.7988 0.9986 3.3865
Li 2.0749 -0.0824 6.6482
Li 3.9941 -1.1704 3.7800
Li -0.7796 -2.2964 7.0441
Li 7.0480 2.0828 9.1220
Li 1.8380 -1.1275 0.8549
Li 8.9479 0.9657 6.3169
Ni 5.5592 0.4675 6.4884
Ni 7.2373 -1.2107 8.0897
Ni 0.7667 -0.6155 9.6163
Ni 7.0883 -1.7131 5.2220
Ni 1.3231 1.1290 3.4222
Ni 3.6734 1.5917 1.8542
Ni 6.9376 -2.2894 2.4216
Ni 5.2454 -0.6619 0.7831
Ni 2.1737 -3.4963 5.7076
Ni 6.3202 3.2026 6.1183
Ni 3.9539 2.6151 7.7164
Ni 1.5896 2.1017 9.2473
Sn 3.8227 2.1643 4.7695
Sn 4.7045 -2.3520 6.8994
Sn 0.5505 -1.7027 3.9602
Sn 8.6821 3.7619 4.3824
O 5.8536 1.6125 5.0222
O 3.7319 0.9900 6.4812
O 1.0548 0.6031 8.1958
O 5.3347 -0.6471 7.9900
O 6.9409 -2.2607 9.6450
O 7.3515 -0.1844 6.5023
O 1.8492 2.8038 4.4957
O 2.6677 -1.3911 9.5861
O 5.1618 -1.0189 5.3727
O 6.7591 -2.7330 6.7905
O 1.8602 2.1768 1.9391
O 0.9620 0.0846 4.9676
O 3.2475 0.6347 3.4195
O 7.4514 -0.8576 3.5720
O 5.4930 1.0445 1.8979
O 2.6185 -1.9755 6.9062
O 6.6943 -3.2485 4.0242
O 0.6607 -0.4579 2.3002
O 1.9728 -4.3985 7.3604
O 7.1366 -1.2670 0.8523
O 4.1344 -4.0936 5.8893
O 5.0947 -1.8211 2.2730
O 2.4882 -2.4721 4.1387
O 0.1792 -3.0606 5.4884
O 8.3403 2.8483 6.2169
O 6.6632 4.2728 4.5865
O 3.4534 1.7001 9.2971
O 4.3116 3.6474 6.1623
O 2.0410 3.1510 7.7497
O 5.8699 2.0307 7.5360
O 7.8742 0.2949 9.3322
O 1.1825 0.9892 10.7116